1.
AlAg2Te (meta-GGA SCAN, single point on PBEsol structure); distance to the lowest polymorph of the same formula = 0.0000 eV per atom; formation energy from raw total energies = 0.79 eV per formula unit
1.0
5.864 0.000 0.000
0.000 8.639 0.000
0.000 0.000 3.114
Al Ag Te
2 4 2
Direct
0.000 0.000 0.000 Al
0.500 0.500 0.000 Al
0.250 0.250 0.500 Ag
0.250 0.750 0.500 Ag
0.750 0.250 0.500 Ag
0.750 0.750 0.500 Ag
0.000 0.500 0.000 Te
0.500 0.000 0.000 Te



2.
Y2PdPt2 (meta-GGA SCAN, single point on PBEsol structure); energy of formation from the pure elements = -1.229 eV per atom
1.0
7.405 0.000 0.000
0.000 7.405 0.000
0.000 0.000 3.666
Y Pd Pt
4 2 4
Direct
0.173 0.327 0.000 Y
0.327 0.827 0.000 Y
0.673 0.173 0.000 Y
0.827 0.673 0.000 Y
0.000 0.000 0.500 Pd
0.500 0.500 0.500 Pd
0.131 0.631 0.500 Pt
0.369 0.131 0.500 Pt
0.631 0.869 0.500 Pt
0.869 0.369 0.500 Pt



Let's list energy in order: -26.737; -46.999 eV per atom.